CaSb2Cl | Alexandria via LeMat-Bulk | PBE | optimized geometry; energy relative to the elements, uncorrected = -371 meV per atom; DFT total energy = -3.39 eV per atom; Fermi-level density of states = 2.5 states/eV per cell; spin magnetization = 0.0 μB/f.u.
1.0
5.609 0.000 0.000
0.000 5.609 0.000
0.000 0.000 3.432
Ca Sb Cl
1 2 1
Cartesian
0.000 0.000 0.000 Ca
0.000 2.804 1.716 Sb
2.804 0.000 1.716 Sb
2.804 2.804 0.000 Cl